The following is a PBE-GGA calculation of a relaxed LaWN3 crystal, from the Alexandria database.

Summary:
ΔE_f (raw) in meV per atom: -512
D(E_F) in states/eV per cell: 1.563
Density in g/cm³: 8.8
Space group: Pmmm
Uncorrected energy in eV per cell: -45.42

a = 3.9330 Å, b = 4.1207 Å, c = 4.2474 Å
α = 90.00°, β = 90.00°, γ = 90.00°
Closest atoms and distances in Å follow each position.
Fractional positions:
La1 0.0000 0.0000 0.0000  4 N 2.49
W1 0.5000 0.5000 0.5000  6 N 2.06-2.09
N1 0.0000 0.5000 0.3300  1 N 1.44
N2 0.0000 0.5000 0.6700  1 N 1.44
N3 0.5000 0.0000 0.5000  2 W 2.06

=====

The following is a PBE-GGA calculation of a relaxed La3W2N8 crystal, from the Alexandria database.

Summary:
ΔE_f (raw) in meV per atom: -665
D(E_F) in states/eV per cell: 9.800
Density in g/cm³: 7.3
Space group: R-3m
Uncorrected energy in eV per cell: -115.94

a = 7.6183 Å, b = 7.6183 Å, c = 7.6183 Å
α = 45.20°, β = 45.20°, γ = 45.20°
Closest atoms and distances in Å follow each position.
Fractional positions:
La1 0.0000 0.0000 0.0000  6 N 2.66
La2 0.1981 0.1981 0.1981  4 N 2.40-2.53
La3 0.8019 0.8019 0.8019  4 N 2.40-2.53
W1 0.4057 0.4057 0.4057  4 N 1.85-1.87
W2 0.5943 0.5943 0.5943  4 N 1.85-1.87
N1 0.2157 0.7376 0.7376  1 W 1.87
N2 0.2624 0.2624 0.7843  1 W 1.87
N3 0.2624 0.7843 0.2624  1 W 1.87
N4 0.3154 0.3154 0.3154  1 W 1.85
N5 0.6846 0.6846 0.6846  1 W 1.85
N6 0.7376 0.2157 0.7376  1 W 1.87
N7 0.7376 0.7376 0.2157  1 W 1.87
N8 0.7843 0.2624 0.2624  1 W 1.87

=====

The following is a PBE-GGA calculation of a relaxed LaWN3 crystal, from the Alexandria database.

Summary:
ΔE_f (raw) in meV per atom: -442
D(E_F) in states/eV per cell: 0.000
Density in g/cm³: 5.8
Space group: Amm2
Uncorrected energy in eV per cell: -45.07

a = 3.1071 Å, b = 6.1356 Å, c = 6.1356 Å
α = 63.98°, β = 90.00°, γ = 90.00°
Closest atoms and distances in Å follow each position.
Fractional positions:
La1 0.0000 0.0000 0.0000  4 N 2.32-2.33
W1 0.5000 0.3408 0.3408  1 N 1.81
N1 0.0000 0.1892 0.5801  2 W 2.06
N2 0.0000 0.5801 0.1892  2 W 2.06
N3 0.5000 0.1668 0.1668  1 W 1.81

=====

The following is a PBE-GGA calculation of a relaxed La2WN2 crystal, from the Alexandria database.

Summary:
ΔE_f (raw) in meV per atom: -186
D(E_F) in states/eV per cell: 8.537
Density in g/cm³: 9.7
Space group: P4/mbm
Uncorrected energy in eV per cell: -80.78

a = 6.7388 Å, b = 6.7388 Å, c = 3.6857 Å
α = 90.00°, β = 90.00°, γ = 90.00°
Closest atoms and distances in Å follow each position.
Fractional positions:
La1 0.1577 0.3423 0.0000  2 N 2.43
La2 0.3423 0.8423 0.0000  2 N 2.43
La3 0.6577 0.1577 0.0000  2 N 2.43
La4 0.8423 0.6577 0.0000  2 N 2.43
W1 0.0000 0.0000 0.5000  4 N 2.49
W2 0.5000 0.5000 0.5000  4 N 2.49
N1 0.1753 0.6753 0.5000  2 La 2.43, 2 W 2.49
N2 0.3247 0.1753 0.5000  2 La 2.43, 2 W 2.49
N3 0.6753 0.8247 0.5000  2 La 2.43, 2 W 2.49
N4 0.8247 0.3247 0.5000  2 La 2.43, 2 W 2.49

=====

The following is a PBE-GGA calculation of a relaxed LaWN3 crystal, from the Alexandria database.

Summary:
ΔE_f (raw) in meV per atom: -1015
D(E_F) in states/eV per cell: 0.000
Density in g/cm³: 9.2
Space group: R3c
Uncorrected energy in eV per cell: -95.86

a = 5.7037 Å, b = 5.7037 Å, c = 5.7037 Å
α = 60.09°, β = 60.09°, γ = 60.09°
Closest atoms and distances in Å follow each position.
Fractional positions:
La1 0.0000 0.0000 0.0000  6 N 2.56-2.65
La2 0.5000 0.5000 0.5000  6 N 2.56-2.65
W1 0.2494 0.2494 0.2494  3 N 1.90
W2 0.7494 0.7494 0.7494  3 N 1.90
N1 0.0201 0.4647 0.5721  1 W 1.90
N2 0.0721 0.9647 0.5201  1 W 1.90
N3 0.4647 0.5721 0.0201  1 W 1.90
N4 0.5201 0.0721 0.9647  1 W 1.90
N5 0.5721 0.0201 0.4647  1 W 1.90
N6 0.9647 0.5201 0.0721  1 W 1.90

=====

The following is a PBE-GGA calculation of a relaxed LaWN3 crystal, from the Alexandria database.

Summary:
ΔE_f (raw) in meV per atom: -903
D(E_F) in states/eV per cell: 0.000
Density in g/cm³: 6.8
Space group: Pnma
Uncorrected energy in eV per cell: -189.48

a = 6.6388 Å, b = 10.4118 Å, c = 5.1522 Å
α = 90.00°, β = 90.00°, γ = 90.00°
Closest atoms and distances in Å follow each position.
Fractional positions:
La1 0.0000 0.0000 0.0000  4 N 2.48-2.49
La2 0.0000 0.5000 0.0000  4 N 2.48-2.49
La3 0.5000 0.0000 0.5000  4 N 2.48-2.49
La4 0.5000 0.5000 0.5000  4 N 2.48-2.49
W1 0.1746 0.2500 0.4385  4 N 1.83-1.96
W2 0.3254 0.7500 0.9385  4 N 1.83-1.96
W3 0.6746 0.2500 0.0615  4 N 1.83-1.96
W4 0.8254 0.7500 0.5615  4 N 1.83-1.96
N1 0.0571 0.7500 0.7966  2 W 1.93-1.96
N2 0.1778 0.1022 0.6291  1 W 1.83
N3 0.1778 0.3978 0.6291  1 W 1.83
N4 0.3222 0.6022 0.1291  1 W 1.83
N5 0.3222 0.8978 0.1291  1 W 1.83
N6 0.4429 0.2500 0.2966  2 W 1.93-1.96
N7 0.5571 0.7500 0.7034  2 W 1.93-1.96
N8 0.6778 0.1022 0.8709  1 W 1.83
N9 0.6778 0.3978 0.8709  1 W 1.83
N10 0.8222 0.6022 0.3709  1 W 1.83
N11 0.8222 0.8978 0.3709  1 W 1.83
N12 0.9429 0.2500 0.2034  2 W 1.93-1.96

=====

The following is a PBE-GGA calculation of a relaxed LaWN3 crystal, from the Alexandria database.

Summary:
ΔE_f (raw) in meV per atom: -867
D(E_F) in states/eV per cell: 0.000
Density in g/cm³: 7.5
Space group: P2_1/c
Uncorrected energy in eV per cell: -188.76

a = 7.4625 Å, b = 6.9524 Å, c = 7.0058 Å
α = 90.00°, β = 116.62°, γ = 90.00°
Closest atoms and distances in Å follow each position.
Fractional positions:
La1 0.1144 0.2449 0.0368  6 N 2.42-2.69
La2 0.1144 0.2551 0.5368  6 N 2.42-2.69
La3 0.8856 0.7449 0.4632  6 N 2.42-2.69
La4 0.8856 0.7551 0.9632  6 N 2.42-2.69
W1 0.3137 0.6267 0.8961  4 N 1.87-2.05
W2 0.3137 0.8733 0.3961  4 N 1.87-2.05
W3 0.6863 0.1267 0.6039  4 N 1.87-2.05
W4 0.6863 0.3733 0.1039  4 N 1.87-2.05
N1 0.0335 0.5529 0.7896  1 W 1.95
N2 0.0335 0.9471 0.2896  1 W 1.95
N3 0.2874 0.7300 0.6379  2 W 1.87-2.05
N4 0.2874 0.7700 0.1379  2 W 1.87-2.05
N5 0.3751 0.1445 0.4135  2 W 1.93-2.10
N6 0.3751 0.3555 0.9135  2 W 1.93-2.10
N7 0.6249 0.6445 0.0865  2 W 1.93-2.10
N8 0.6249 0.8555 0.5865  2 W 1.93-2.10
N9 0.7126 0.2300 0.8621  2 W 1.87-2.05
N10 0.7126 0.2700 0.3621  2 W 1.87-2.05
N11 0.9665 0.0529 0.7104  1 W 1.95
N12 0.9665 0.4471 0.2104  1 W 1.95

=====

The following is a PBE-GGA calculation of a relaxed LaWN3 crystal, from the Alexandria database.

Summary:
ΔE_f (raw) in meV per atom: -760
D(E_F) in states/eV per cell: 1.859
Density in g/cm³: 9.1
Space group: Cm
Uncorrected energy in eV per cell: -93.32

a = 6.1313 Å, b = 6.1313 Å, c = 6.0148 Å
α = 110.38°, β = 110.38°, γ = 39.24°
Closest atoms and distances in Å follow each position.
Fractional positions:
La1 0.0000 0.0000 0.0000  6 N 2.42-2.65
La2 0.1947 0.1947 0.6422  4 N 2.39-2.66
W1 0.4410 0.4410 0.4195  6 N 2.01-2.13
W2 0.7575 0.7575 0.1880  1 N 1.80
N1 0.2437 0.2437 0.2433  3 W 2.10-2.13
N2 0.4152 0.4152 0.7451  1 N 1.42
N3 0.5448 0.5448 0.7870  1 N 1.42
N4 0.5872 0.5872 0.3150  1 W 2.01
N5 0.7771 0.7771 0.9047  1 W 1.80
N6 0.9382 0.9382 0.4221  3 W 2.04-2.06